No. 1
# Sc2InNi9 | Alexandria | PBE | relaxed
data_Sc2InNi9
_chemical_formula_sum 'Sc6 In3 Ni27'
_cell_length_a 4.8220
_cell_length_b 4.8220
_cell_length_c 23.8480
_cell_angle_alpha 90.00
_cell_angle_beta 90.00
_cell_angle_gamma 120.00
_space_group_name_H-M_alt 'R -3 m'
_space_group_IT_number 166
_space_group_name_Hall '-R 3 2"'
loop_
_atom_site_label
_atom_site_fract_x
_atom_site_fract_y
_atom_site_fract_z
_atom_site_occupancy
Sc1 0.0000 0.0000 0.1382 1
In1 0.0000 0.0000 0.0000 1
Ni1 0.0000 0.0000 0.3334 1
Ni2 0.0000 0.0000 0.5000 1
Ni3 0.0031 0.5016 0.9152 1
# - calculated density (kg/m3) = 7604
# - formation energy (eV/atom) = -0.298

No. 2
# ScInNi | Alexandria | PBE | relaxed
data_ScInNi
_chemical_formula_sum 'Sc6 In6 Ni6'
_cell_length_a 5.9852
_cell_length_b 5.9852
_cell_length_c 11.4341
_cell_angle_alpha 90.00
_cell_angle_beta 90.00
_cell_angle_gamma 120.00
_space_group_name_H-M_alt 'P 62 2 2'
_space_group_IT_number 180
_space_group_name_Hall 'P 62 2 (0 0 4)'
loop_
_atom_site_label
_atom_site_fract_x
_atom_site_fract_y
_atom_site_fract_z
_atom_site_occupancy
Sc1 0.0000 0.0000 0.0000 1
Sc2 0.0000 0.5000 0.1667 1
In1 0.0000 0.5000 0.4611 1
Ni1 0.2246 0.6123 0.6667 1
# - calculated density (kg/m3) = 6136
# - formation energy (eV/atom) = -0.226

No. 3
# ScInNi | Alexandria | PBE | relaxed
data_ScInNi
_chemical_formula_sum 'Sc1 In1 Ni1'
_cell_length_a 4.4710
_cell_length_b 4.4710
_cell_length_c 3.2220
_cell_angle_alpha 90.00
_cell_angle_beta 90.00
_cell_angle_gamma 120.00
_space_group_name_H-M_alt 'P -6 m 2'
_space_group_IT_number 187
_space_group_name_Hall 'P -6 2'
loop_
_atom_site_label
_atom_site_fract_x
_atom_site_fract_y
_atom_site_fract_z
_atom_site_occupancy
Sc1 0.0000 0.0000 0.0000 1
In1 0.6667 0.3333 0.5000 1
Ni1 0.3333 0.6667 0.5000 1
# - calculated density (kg/m3) = 6504
# - formation energy (eV/atom) = -0.333

No. 4
# Sc2InNi | Alexandria | PBE | relaxed
data_Sc2InNi
_chemical_formula_sum 'Sc4 In2 Ni2'
_cell_length_a 3.2471
_cell_length_b 4.7513
_cell_length_c 10.2258
_cell_angle_alpha 90.00
_cell_angle_beta 90.00
_cell_angle_gamma 90.00
_space_group_name_H-M_alt 'I m m 2'
_space_group_IT_number 44
_space_group_name_Hall 'I 2 -2'
loop_
_atom_site_label
_atom_site_fract_x
_atom_site_fract_y
_atom_site_fract_z
_atom_site_occupancy
Sc1 0.0000 0.0000 0.0000 1
Sc2 0.0000 0.5000 0.2013 1
In1 0.0000 0.0000 0.4134 1
Ni1 0.0000 0.5000 0.7024 1
# - calculated density (kg/m3) = 5545
# - formation energy (eV/atom) = -0.342

No. 5
# Sc3InNi8 | Alexandria | PBE | relaxed
data_Sc3InNi8
_chemical_formula_sum 'Sc9 In3 Ni24'
_cell_length_a 4.8815
_cell_length_b 4.8815
_cell_length_c 24.0368
_cell_angle_alpha 90.00
_cell_angle_beta 90.00
_cell_angle_gamma 120.00
_space_group_name_H-M_alt 'R 3 m'
_space_group_IT_number 160
_space_group_name_Hall 'R 3 -2"'
loop_
_atom_site_label
_atom_site_fract_x
_atom_site_fract_y
_atom_site_fract_z
_atom_site_occupancy
Sc1 0.0000 0.0000 0.0000 1
Sc2 0.0000 0.0000 0.1265 1
Sc3 0.0000 0.0000 0.6218 1
In1 0.0000 0.0000 0.4983 1
Ni1 0.0000 0.0000 0.3123 1
Ni2 0.0000 0.0000 0.8119 1
Ni3 0.9995 0.4998 0.0609 1
Ni4 0.0016 0.5008 0.5629 1
# - calculated density (kg/m3) = 7223
# - E above lowest polymorph (eV per atom) = 0.000
# - formation energy (eV/atom) = -0.468

No. 6
# ScIn2NiSn | Alexandria | PBE | relaxed
data_ScIn2NiSn
_chemical_formula_sum 'Sc1 In2 Ni1 Sn1'
_cell_length_a 5.6295
_cell_length_b 5.6295
_cell_length_c 4.4816
_cell_angle_alpha 90.00
_cell_angle_beta 90.00
_cell_angle_gamma 90.00
_space_group_name_H-M_alt 'P 4/m m m'
_space_group_IT_number 123
_space_group_name_Hall '-P 4 2'
loop_
_atom_site_label
_atom_site_fract_x
_atom_site_fract_y
_atom_site_fract_z
_atom_site_occupancy
Sc1 0.0000 0.0000 0.0000 1
In1 0.0000 0.5000 0.0000 1
Ni1 0.0000 0.0000 0.5000 1
Sn1 0.5000 0.5000 0.5000 1
# - calculated density (kg/m3) = 5285
# - formation energy (eV/atom) = 0.607

No. 7
# TbScInNi | Alexandria | PBE | relaxed
data_TbScInNi
_chemical_formula_sum 'Tb4 Sc4 In4 Ni4'
_cell_length_a 7.0188
_cell_length_b 7.0188
_cell_length_c 7.0188
_cell_angle_alpha 90.00
_cell_angle_beta 90.00
_cell_angle_gamma 90.00
_space_group_name_H-M_alt 'F -4 3 m'
_space_group_IT_number 216
_space_group_name_Hall 'F -4 2 3'
loop_
_atom_site_label
_atom_site_fract_x
_atom_site_fract_y
_atom_site_fract_z
_atom_site_occupancy
Tb1 0.0000 0.0000 0.0000 1
Sc1 0.0000 0.0000 0.5000 1
In1 0.2500 0.2500 0.7500 1
Ni1 0.2500 0.2500 0.2500 1
# - calculated density (kg/m3) = 7250
# - formation energy (eV/atom) = -0.312

No. 8
# ScIn2TcNi | Alexandria | PBE | relaxed
data_ScIn2TcNi
_chemical_formula_sum 'Sc1 In2 Tc1 Ni1'
_cell_length_a 4.7177
_cell_length_b 4.7177
_cell_length_c 4.7545
_cell_angle_alpha 90.00
_cell_angle_beta 90.00
_cell_angle_gamma 90.00
_space_group_name_H-M_alt 'P 4/m m m'
_space_group_IT_number 123
_space_group_name_Hall '-P 4 2'
loop_
_atom_site_label
_atom_site_fract_x
_atom_site_fract_y
_atom_site_fract_z
_atom_site_occupancy
Sc1 0.0000 0.0000 0.0000 1
In1 0.0000 0.5000 0.5000 1
Tc1 0.5000 0.5000 0.0000 1
Ni1 0.5000 0.5000 0.5000 1
# - calculated density (kg/m3) = 6768
# - formation energy (eV/atom) = 0.437

No. 9
# ScTlIn2Ni | Alexandria | PBE | relaxed
data_ScTlIn2Ni
_chemical_formula_sum 'Sc1 Tl1 In2 Ni1'
_cell_length_a 4.9130
_cell_length_b 4.9130
_cell_length_c 4.8811
_cell_angle_alpha 90.00
_cell_angle_beta 90.00
_cell_angle_gamma 90.00
_space_group_name_H-M_alt 'P 4/m m m'
_space_group_IT_number 123
_space_group_name_Hall '-P 4 2'
loop_
_atom_site_label
_atom_site_fract_x
_atom_site_fract_y
_atom_site_fract_z
_atom_site_occupancy
Sc1 0.0000 0.0000 0.0000 1
Tl1 0.5000 0.5000 0.0000 1
In1 0.0000 0.5000 0.5000 1
Ni1 0.0000 0.0000 0.5000 1
# - calculated density (kg/m3) = 7578
# - formation energy (eV/atom) = -0.110

No. 10
# TmScInNi | Alexandria | PBE | relaxed
data_TmScInNi
_chemical_formula_sum 'Tm1 Sc1 In1 Ni1'
_cell_length_a 3.3398
_cell_length_b 3.3398
_cell_length_c 7.4027
_cell_angle_alpha 90.00
_cell_angle_beta 90.00
_cell_angle_gamma 90.00
_space_group_name_H-M_alt 'P 4 m m'
_space_group_IT_number 99
_space_group_name_Hall 'P 4 -2'
loop_
_atom_site_label
_atom_site_fract_x
_atom_site_fract_y
_atom_site_fract_z
_atom_site_occupancy
Tm1 0.0000 0.0000 0.0000 1
Sc1 0.0000 0.0000 0.5770 1
In1 0.5000 0.5000 0.3043 1
Ni1 0.5000 0.5000 0.7659 1
# - calculated density (kg/m3) = 7791
# - E above lowest polymorph (eV per atom) = 0.000
# - formation energy (eV/atom) = -0.462

No. 11
# TmScInNi | Alexandria | PBE | relaxed
data_TmScInNi
_chemical_formula_sum 'Tm4 Sc4 In4 Ni4'
_cell_length_a 6.9478
_cell_length_b 6.9478
_cell_length_c 6.9478
_cell_angle_alpha 90.00
_cell_angle_beta 90.00
_cell_angle_gamma 90.00
_space_group_name_H-M_alt 'F -4 3 m'
_space_group_IT_number 216
_space_group_name_Hall 'F -4 2 3'
loop_
_atom_site_label
_atom_site_fract_x
_atom_site_fract_y
_atom_site_fract_z
_atom_site_occupancy
Tm1 0.0000 0.0000 0.0000 1
Sc1 0.0000 0.0000 0.5000 1
In1 0.2500 0.2500 0.7500 1
Ni1 0.2500 0.2500 0.2500 1
# - calculated density (kg/m3) = 7672
# - E above lowest polymorph (eV per atom) = 0.127
# - formation energy (eV/atom) = -0.335

No. 12
# ScZnInNi | Alexandria | PBE | relaxed
data_ScZnInNi
_chemical_formula_sum 'Sc4 Zn4 In4 Ni4'
_cell_length_a 6.4448
_cell_length_b 6.4448
_cell_length_c 6.4448
_cell_angle_alpha 90.00
_cell_angle_beta 90.00
_cell_angle_gamma 90.00
_space_group_name_H-M_alt 'F -4 3 m'
_space_group_IT_number 216
_space_group_name_Hall 'F -4 2 3'
loop_
_atom_site_label
_atom_site_fract_x
_atom_site_fract_y
_atom_site_fract_z
_atom_site_occupancy
Sc1 0.0000 0.0000 0.0000 1
Zn1 0.2500 0.2500 0.7500 1
In1 0.0000 0.0000 0.5000 1
Ni1 0.2500 0.2500 0.2500 1
# - calculated density (kg/m3) = 7044
# - formation energy (eV/atom) = -0.353